[1]
This record from Alexandria via LeMat-Bulk describes TeWAu2 at its PBEsol-relaxed geometry. The functional is SCAN.

Unit cell a=5.3023 b=5.3023 c=2.8655 alpha=90.00 beta=90.00 gamma=115.57
Fractional positions:
Te 0.0000 0.0000 0.0000
W 0.5000 0.5000 0.0000
Au 0.0000 0.5000 0.5000
Au 0.5000 0.0000 0.5000

Output
The calculation puts the formation energy without anion corrections at 0.70 eV per atom. As for the symmetry: No. 65.

***

[2]
This record from Alexandria via LeMat-Bulk describes YNbCr3 at its PBEsol-relaxed geometry. The functional is SCAN.

Unit cell a=4.4185 b=4.4185 c=4.4185 alpha=90.00 beta=90.00 gamma=90.00
Fractional positions:
Y 0.0000 0.0000 0.0000
Nb 0.5000 0.5000 0.5000
Cr 0.0000 0.0000 0.5000
Cr 0.0000 0.5000 0.0000
Cr 0.5000 0.0000 0.0000

Output
The formation energy is 2.05 eV/atom. As for the symmetry: No. 221.

***

[3]
This record from Alexandria via LeMat-Bulk describes HgPtO2 at its PBEsol-relaxed geometry. The functional is SCAN.

Unit cell a=7.7050 b=7.7050 c=7.7050 alpha=23.52 beta=23.52 gamma=23.52
Fractional positions:
Hg 0.0000 0.0000 0.0000
Pt 0.5000 0.5000 0.5000
O 0.1247 0.1247 0.1247
O 0.8753 0.8753 0.8753

Output
The calculation puts the formation energy without anion corrections at -0.45 eV per atom. As for the symmetry: No. 166.

***

Going through the records in order, we get Fermi-level density of states values of 2.3; 5.3; 1.0 states/eV/cell.
Going through the records in order, we get total magnetic moment values of 0.00; 7.16; 0.00 μB/f.u..